Record 1
Entry from Alexandria: an optimized crystal structure of MnAsBr2N (PBE).

Structure (POSCAR):
```
MnAsBr2N
1.0
5.9341 0.0000 0.0000
0.0000 5.9341 0.0000
0.0000 0.0000 3.6032
Br As Mn N
2 1 1 1
Direct
0.0000 0.5000 0.0000
0.5000 0.0000 0.0000
0.0000 0.0000 0.5000
0.5000 0.5000 0.5000
0.0000 0.0000 0.0000
```

Properties
Spin magnetization   4.8 μB/f.u.
E above lowest polymorph   0.000 eV per atom
Space-group type   No. 123
Formation energy without anion corrections   986 meV/atom


Record 2
Entry from Alexandria: an optimized crystal structure of TaVCr4 (PBE).

Structure (POSCAR):
```
TaVCr4
1.0
4.8289 0.0000 0.0000
2.4144 4.1819 0.0000
2.4144 1.3940 3.9428
V Cr Ta
1 4 1
Direct
0.0000 0.0000 0.0000
0.6252 0.6252 0.1243
0.1243 0.6252 0.6252
0.6252 0.1243 0.6252
0.6252 0.6252 0.6252
0.2500 0.2500 0.2500
```

Properties
Spin magnetization   0.0 μB/f.u.
Space-group type   No. 216
Formation enthalpy at 0 K   -0.04 eV/atom


Record 3
Entry from Alexandria: an optimized crystal structure of KAcCdSb (PBE).

Structure (POSCAR):
```
KAcCdSb
1.0
5.7814 0.0000 0.0000
2.8907 5.0069 0.0000
2.8907 1.6690 4.7205
Cd K Ac Sb
1 1 1 1
Direct
0.7500 0.7500 0.7500
0.0000 0.0000 0.0000
0.5000 0.5000 0.5000
0.2500 0.2500 0.2500
```

Properties
Spin magnetization   0.0 μB/f.u.
Space-group type   No. 216
Formation energy without anion corrections   -392 meV/atom


Record 4
Entry from Alexandria: an optimized crystal structure of SrTc2Rh (PBE).

Structure (POSCAR):
```
SrTc2Rh
1.0
-3.6516 -2.5785 -3.3197
0.1857 -5.5179 -0.7225
0.0349 3.7123 4.1498
Tc Sr Rh
2 1 1
Direct
0.5000 0.5000 0.0000
0.0000 0.0000 0.0000
0.7500 0.2500 0.5000
0.2500 0.7500 0.5000
```

Properties
Spin magnetization   0.0 μB/f.u.
E above lowest polymorph   0.486 eV per atom
Space-group type   No. 139
Formation enthalpy at 0 K   0.82 eV/atom


Record 5
Entry from Alexandria: an optimized crystal structure of LiThSiPt3 (PBE).

Structure (POSCAR):
```
LiThSiPt3
1.0
5.6421 0.0000 0.0000
0.0000 6.6680 0.0000
0.0000 -3.3340 5.7486
Th Li Si Pt
2 2 2 6
Direct
0.7500 0.2868 0.5736
0.2500 0.7132 0.4264
0.7500 0.0383 0.0765
0.2500 0.9617 0.9235
0.7500 0.6189 0.2378
0.2500 0.3811 0.7622
0.7500 0.8217 0.6434
0.0000 0.7145 0.0000
0.5000 0.2855 0.0000
0.0000 0.2855 0.0000
0.5000 0.7145 0.0000
0.2500 0.1783 0.3566
```

Properties
Spin magnetization   0.0 μB/f.u.
Space-group type   No. 63
Formation energy without anion corrections   -778 meV/atom


Record 6
Entry from Alexandria: an optimized crystal structure of LiFeIr (PBE).

Structure (POSCAR):
```
LiFeIr
1.0
4.6254 -0.4462 0.0000
2.9711 3.5729 0.0000
-3.7982 -1.5633 2.1731
Li Ir Fe
1 1 1
Direct
0.6672 0.6672 0.0000
0.3346 0.3346 0.0000
0.9982 0.9982 0.0000
```

Properties
Spin magnetization   3.6 μB/f.u.
E above lowest polymorph   0.109 eV per atom
Space-group type   No. 107
Formation enthalpy at 0 K   0.07 eV/atom


Record 7
Entry from Alexandria: an optimized crystal structure of La9Co2Br14 (PBE).

Structure (POSCAR):
```
La9Co2Br14
1.0
8.9051 0.0000 0.0000
-4.4526 7.7121 0.0000
0.0000 0.0000 12.2158
Br Co La
14 2 9
Direct
0.0817 0.3960 0.5963
0.0000 0.0000 0.7462
0.6857 0.0817 0.4037
0.6858 0.6439 0.0895
0.3143 0.9183 0.5963
0.0419 0.6858 0.9105
0.9581 0.3142 0.0895
0.3960 0.3143 0.4037
0.3142 0.3561 0.9105
0.0000 0.0000 0.2538
0.6439 0.9581 0.9105
0.9183 0.6040 0.4037
0.3561 0.0419 0.0895
0.6040 0.6857 0.5963
0.6667 0.3333 0.7372
0.3333 0.6667 0.2628
0.0926 0.3839 0.3356
0.3839 0.2912 0.6644
0.6667 0.3333 0.9421
0.6161 0.7088 0.3356
0.3333 0.6667 0.0579
0.0000 0.0000 0.0000
0.7088 0.0926 0.6644
0.9074 0.6161 0.6644
0.2912 0.9074 0.3356
```

Properties
Spin magnetization   5.1 μB/f.u.
Space-group type   No. 147
Formation energy without anion corrections   -1473 meV/atom


Record 8
Entry from Alexandria: an optimized crystal structure of Sr2NiHgN (PBE).

Structure (POSCAR):
```
Sr2NiHgN
1.0
5.5330 0.0000 0.0000
0.0000 5.5330 0.0000
0.0000 0.0000 3.6421
N Sr Hg Ni
1 2 1 1
Direct
0.0000 0.0000 0.0000
0.5000 0.0000 0.0000
0.0000 0.5000 0.0000
0.5000 0.5000 0.5000
0.0000 0.0000 0.5000
```

Properties
Spin magnetization   0.0 μB/f.u.
Space-group type   No. 123
Formation energy without anion corrections   -471 meV/atom


Record 9
Entry from Alexandria: an optimized crystal structure of BeNbCu (PBE).

Structure (POSCAR):
```
BeNbCu
1.0
6.8343 0.0848 0.0081
0.5168 2.4951 0.0321
-2.0213 -0.7050 4.5802
Be Nb Cu
2 2 2
Direct
0.5734 0.4432 0.6092
0.6047 0.2035 0.0065
0.2048 0.0607 0.6131
0.9733 0.5867 0.0026
0.7950 0.7666 0.4270
0.3832 0.8802 0.1885
```

Properties
Spin magnetization   0.0 μB/f.u.
E above lowest polymorph   0.138 eV per atom
Space-group type   No. 2
Formation enthalpy at 0 K   0.06 eV/atom


Record 10
Entry from Alexandria: an optimized crystal structure of Na3Pd5F12 (PBE).

Structure (POSCAR):
```
Na3Pd5F12
1.0
12.0188 0.0000 0.0000
-4.0063 11.3315 0.0000
-4.0063 -5.6657 9.8133
F Pd Na
48 20 12
Direct
0.5263 0.1890 0.1486
0.8110 0.3373 0.9596
0.9596 0.1223 0.6486
0.6486 0.0263 0.1890
0.3777 0.3514 0.5404
0.8514 0.3110 0.4737
0.0404 0.8777 0.3514
0.5263 0.3373 0.8777
0.0404 0.1627 0.1890
0.9737 0.3514 0.3110
0.3373 0.8110 0.4596
0.3777 0.0263 0.3373
0.9596 0.8373 0.8110
0.9737 0.6223 0.1627
0.8110 0.4737 0.3514
0.1486 0.4596 0.1223
0.5404 0.8514 0.3777
0.1627 0.0404 0.6890
0.1223 0.1627 0.4737
0.3373 0.5263 0.3777
0.3110 0.4596 0.8373
0.5404 0.6890 0.6627
0.8514 0.5404 0.8777
0.1627 0.1223 0.9737
0.6486 0.6223 0.9596
0.3514 0.3777 0.0404
0.6890 0.1486 0.0263
0.8777 0.8373 0.5263
0.6223 0.9737 0.6627
0.1890 0.5263 0.6486
0.3110 0.8514 0.9737
0.6627 0.4737 0.6223
0.4596 0.3110 0.3373
0.1486 0.6890 0.5263
0.4737 0.6627 0.1223
0.4596 0.1486 0.6223
0.8373 0.9596 0.3110
0.3514 0.9737 0.8110
0.6627 0.1890 0.5404
0.6223 0.6486 0.4596
0.1890 0.6627 0.0404
0.8777 0.0404 0.8514
0.1223 0.9596 0.1486
0.4737 0.8110 0.8514
0.8373 0.8777 0.0263
0.6890 0.5404 0.1627
0.0263 0.3777 0.8373
0.0263 0.6486 0.6890
0.2500 0.8750 0.1250
0.5000 0.5000 0.5000
0.6250 0.7500 0.8750
0.3750 0.2500 0.1250
0.1250 0.3750 0.2500
0.6250 0.8750 0.2500
0.0000 0.0000 0.0000
0.0000 0.5000 0.5000
0.1250 0.7500 0.3750
0.8750 0.6250 0.7500
0.5000 0.5000 0.0000
0.7500 0.6250 0.3750
0.8750 0.2500 0.6250
0.5000 0.0000 0.0000
0.5000 0.0000 0.5000
0.0000 0.0000 0.5000
0.2500 0.3750 0.6250
0.3750 0.1250 0.7500
0.7500 0.1250 0.8750
0.0000 0.5000 0.0000
0.8750 0.1250 0.2500
0.3750 0.7500 0.6250
0.8750 0.7500 0.1250
0.1250 0.8750 0.7500
0.1250 0.2500 0.8750
0.3750 0.6250 0.2500
0.2500 0.1250 0.3750
0.6250 0.3750 0.7500
0.6250 0.2500 0.3750
0.2500 0.6250 0.8750
0.7500 0.3750 0.1250
0.7500 0.8750 0.6250
```

Properties
Spin magnetization   9.1 μB/f.u.
E above lowest polymorph   0.178 eV per atom
Space-group type   No. 230
Formation energy without anion corrections   -1415 meV/atom


Record 11
Entry from Alexandria: an optimized crystal structure of Li2AgP (PBE).

Structure (POSCAR):
```
Li2AgP
1.0
4.5177 -0.0298 -0.0182
-1.1663 4.3646 -0.0182
0.0132 0.0171 2.9913
Ag Li P
1 2 1
Direct
0.0000 0.5000 0.5000
0.5000 0.5000 0.0000
0.0000 0.0000 0.0000
0.5000 0.0000 0.5000
```

Properties
Spin magnetization   0.0 μB/f.u.
Space-group type   No. 65
Formation enthalpy at 0 K   -0.30 eV/atom


Record 12
Entry from Alexandria: an optimized crystal structure of TePSCl2 (PBE).

Structure (POSCAR):
```
TePSCl2
1.0
-1.0988 -2.3504 4.3208
-2.9505 -3.2273 -2.5059
4.3333 -3.3867 -0.7403
Cl S P Te
2 1 1 1
Direct
0.5000 0.0000 0.0000
0.0000 0.5000 0.0000
0.5000 0.5000 0.5000
0.0000 0.0000 0.5000
0.0000 0.0000 0.0000
```

Properties
Spin magnetization   0.2 μB/f.u.
E above lowest polymorph   0.456 eV per atom
Space-group type   No. 123
Formation energy without anion corrections   749 meV/atom


| no. | E_tot (hartree per atom) |
| --- | --- |
| 1 | -0.151 |
| 2 | -0.366 |
| 3 | -0.109 |
| 4 | -0.243 |
| 5 | -0.230 |
| 6 | -0.233 |
| 7 | -0.175 |
| 8 | -0.148 |
| 9 | -0.217 |
| 10 | -0.148 |
| 11 | -0.122 |
| 12 | -0.093 |